## a
Material: Zn2MoW
Method: DFT, PBE
State: relaxed

Output
Fermi-level density of states ... 2.51 states/eV/cell
Symmetry ... No. 160
Crystal system ... trigonal

abc: 9.4508 9.4508 9.4508
angles: 16.92 16.92 16.92
Positions (direct):
Mo  0.4985  0.4985  0.4985
W  0.2515  0.2515  0.2515
Zn  0.0009  0.0009  0.0009
Zn  0.7492  0.7492  0.7492

=====

## b
Material: Zn2MoW
Method: DFT, PBE
State: relaxed

Output
Fermi-level density of states ... 0.63 states/eV/cell
Symmetry ... No. 216
Crystal system ... cubic

abc: 4.4214 4.4214 4.4214
angles: 60.00 60.00 60.00
Positions (direct):
Mo  0.5000  0.5000  0.5000
W  0.7500  0.7500  0.7500
Zn  0.0000  0.0000  0.0000
Zn  0.2500  0.2500  0.2500

=====

## c
Material: Zn2MoW
Method: DFT, PBE
State: relaxed

Output
Fermi-level density of states ... 1.54 states/eV/cell
Symmetry ... No. 6
Crystal system ... monoclinic

abc: 4.3510 2.7340 5.1515
angles: 81.99 90.00 90.00
Positions (direct):
Mo  0.0000  0.5271  0.4981
W  0.5000  0.7244  0.7521
Zn  0.0000  0.1320  0.0010
Zn  0.5000  0.1165  0.2488

=====

## d
Material: Zn2MoW
Method: DFT, PBE
State: relaxed

Output
Fermi-level density of states ... 1.82 states/eV/cell
Symmetry ... No. 8
Crystal system ... monoclinic

abc: 4.8230 4.8230 4.9654
angles: 84.79 84.79 32.07
Positions (direct):
Mo  0.4972  0.4972  0.4890
W  0.2532  0.2532  0.2606
Zn  0.9989  0.9989  0.9878
Zn  0.7507  0.7507  0.7626

=====

Order of stability, best first: c, d, a, b

=====

## a
Material: Zn2MoW
Method: DFT, PBE
State: relaxed

Output
Fermi-level density of states ... 1.57 states/eV/cell
Symmetry ... No. 10
Crystal system ... monoclinic

abc: 4.3343 2.6601 5.5062
angles: 72.18 90.00 90.00
Positions (direct):
Mo  0.5000  0.2500  0.2500
W  0.5000  0.7500  0.7500
Zn  0.0000  0.0012  0.9999
Zn  0.0000  0.4988  0.5001

=====

## b
Material: Zn2MoW
Method: DFT, PBE
State: relaxed

Output
Fermi-level density of states ... 2.41 states/eV/cell
Symmetry ... No. 166
Crystal system ... trigonal

abc: 9.2380 9.2380 9.2380
angles: 17.41 17.41 17.41
Positions (direct):
Mo  0.7500  0.7500  0.7500
W  0.2500  0.2500  0.2500
Zn  0.0002  0.0002  0.0002
Zn  0.4998  0.4998  0.4998

=====

Order of stability, best first: a, b

=====

## a
Material: Zn2MoW2
Method: DFT, PBE
State: relaxed

Output
Fermi-level density of states ... 2.13 states/eV/cell
Symmetry ... No. 127
Crystal system ... tetragonal

abc: 6.6566 6.6566 3.3924
angles: 90.00 90.00 90.00
Positions (direct):
Mo  0.0000  0.0000  0.0000
Mo  0.5000  0.5000  0.0000
Zn  0.3751  0.8751  0.0000
Zn  0.8751  0.6249  0.0000
Zn  0.6249  0.1249  0.0000
Zn  0.1249  0.3751  0.0000
W  0.1761  0.6761  0.5000
W  0.6761  0.8239  0.5000
W  0.8239  0.3239  0.5000
W  0.3239  0.1761  0.5000

=====

## b
Material: Zn2MoW2
Method: DFT, PBE
State: relaxed

Output
Fermi-level density of states ... 3.40 states/eV/cell
Symmetry ... No. 139
Crystal system ... tetragonal

abc: 3.7151 3.7151 6.4167
angles: 73.17 73.17 90.00
Positions (direct):
Mo  0.0000  0.0000  0.0000
Zn  0.4063  0.4063  0.1873
Zn  0.5937  0.5937  0.8127
W  0.7500  0.2500  0.5000
W  0.2500  0.7500  0.5000

=====

Order of stability, best first: a, b

=====

## a
Material: ZrMoW2
Method: DFT, PBE
State: relaxed

Output
Fermi-level density of states ... 2.96 states/eV/cell
Symmetry ... No. 99
Crystal system ... tetragonal

abc: 3.2316 3.2316 6.6269
angles: 90.00 90.00 90.00
Positions (direct):
Mo  0.5000  0.5000  0.7659
W  0.0000  0.0000  0.9993
W  0.5000  0.5000  0.2334
Zr  0.0000  0.0000  0.5014

=====

## b
Material: ZrMoW2
Method: DFT, PBE
State: relaxed

Output
Fermi-level density of states ... 3.03 states/eV/cell
Symmetry ... No. 166
Crystal system ... trigonal

abc: 9.1279 9.1279 9.1279
angles: 19.08 19.08 19.08
Positions (direct):
Mo  0.2500  0.2500  0.2500
W  0.9937  0.9937  0.9937
W  0.5063  0.5063  0.5063
Zr  0.7500  0.7500  0.7500

=====

## c
Material: ZrMoW2
Method: DFT, PBE
State: relaxed

Output
Fermi-level density of states ... 3.88 states/eV/cell
Symmetry ... No. 6
Crystal system ... monoclinic

abc: 4.5301 2.8514 5.4102
angles: 79.97 90.00 90.00
Positions (direct):
Mo  0.5000  0.7543  0.7569
W  0.0000  0.9977  0.0013
W  0.5000  0.2434  0.2401
Zr  0.0000  0.5046  0.5016

=====

## d
Material: ZrMoW2
Method: DFT, PBE
State: relaxed

Output
Fermi-level density of states ... 3.81 states/eV/cell
Symmetry ... No. 47
Crystal system ... orthorhombic

abc: 2.7121 4.7900 5.4209
angles: 90.00 90.00 90.00
Positions (direct):
Mo  0.5000  0.5000  0.7500
W  0.0000  0.0000  0.9975
W  0.0000  0.0000  0.5025
Zr  0.5000  0.5000  0.2500

=====

Order of stability, best first: a, c, d, b

=====

## a
Material: ZrMoW2
Method: DFT, PBE
State: relaxed

Output
Fermi-level density of states ... 3.61 states/eV/cell
Symmetry ... No. 10
Crystal system ... monoclinic

abc: 4.5815 2.8536 5.3574
angles: 79.11 90.00 90.00
Positions (direct):
Mo  0.5000  0.7500  0.7500
W  0.0000  0.9890  0.9936
W  0.0000  0.5110  0.5064
Zr  0.5000  0.2500  0.2500

=====

## b
Material: ZrMoW2
Method: DFT, PBE
State: relaxed

Output
Fermi-level density of states ... 3.32 states/eV/cell
Symmetry ... No. 225
Crystal system ... cubic

abc: 4.5956 4.5956 4.5956
angles: 60.00 60.00 60.00
Positions (direct):
Mo  0.5000  0.5000  0.5000
Zr  0.0000  0.0000  0.0000
W  0.2500  0.2500  0.2500
W  0.7500  0.7500  0.7500

=====

## c
Material: ZrMoW2
Method: DFT, PBE
State: relaxed

Output
Fermi-level density of states ... 2.93 states/eV/cell
Symmetry ... No. 216
Crystal system ... cubic

abc: 4.5979 4.5979 4.5979
angles: 60.00 60.00 60.00
Positions (direct):
Mo  0.5000  0.5000  0.5000
W  0.0000  0.0000  0.0000
W  0.7500  0.7500  0.7500
Zr  0.2500  0.2500  0.2500

=====

Order of stability, best first: c, a, b

=====

## a
Material: ZrMoW2
Method: DFT, PBE
State: relaxed

Output
Fermi-level density of states ... 3.08 states/eV/cell
Symmetry ... No. 12
Crystal system ... monoclinic

abc: 5.3453 5.4002 2.8210
angles: 80.18 79.46 116.56
Positions (direct):
Mo  0.5000  0.5000  0.0000
W  0.0000  0.0000  0.0000
W  0.5000  0.0000  0.5000
Zr  0.0000  0.5000  0.5000

=====

## b
Material: ZrMoW2
Method: DFT, PBE
State: relaxed

Output
Fermi-level density of states ... 3.19 states/eV/cell
Symmetry ... No. 47
Crystal system ... orthorhombic

abc: 3.2381 4.5521 4.6643
angles: 90.00 90.00 90.00
Positions (direct):
Mo  0.0000  0.5000  0.5000
W  0.0000  0.0000  0.0000
W  0.5000  0.5000  0.0000
Zr  0.5000  0.0000  0.5000

=====

Order of stability, best first: b, a